Compound: InWIO2
Source: Alexandria via LeMat-Bulk
Functional: PBE+U
Structure: relaxed

Unit cell a=4.2006 b=4.2006 c=6.3923 alpha=90.00 beta=90.00 gamma=90.00
Closest atoms and distances in Å follow each position.
Fractional positions:
In (0.0000, 0.0000, 0.0000)  4 O 2.10
W (0.5000, 0.5000, 0.5000)  4 I 2.97
I (0.0000, 0.0000, 0.5000)  4 W 2.97, 2 In 3.20
O (0.0000, 0.5000, 0.0000)  2 In 2.10
O (0.5000, 0.0000, 0.0000)  2 In 2.10

Values from the calculation:
**Density**: 6.74 g cm⁻³
**V**: 112.8 Å³/cell
**Energy above the most stable polymorph in this dataset**: 860 meV/atom